A plane-wave DFT calculation with PBE was carried out for a relaxed structure of MnRh2AuN.

Computed properties:
- Spin magnetization: 3.8 Bohr magnetons per cell
- Formation energy without anion corrections: -7 meV per atom
- VASP energy: -35.51 eV/cell

Lattice parameters (Å, degrees): 4.0994 4.0994 4.0349 90.00 90.00 90.00
Last column: nearest neighbours and their distance in Å.
Space group P4/mmm (No. 123)
Symmetry-distinct sites (fractional):
Mn 0.0000 0.0000 0.0000 x1  2 N 2.02
Rh 0.0000 0.5000 0.5000 x2  2 N 2.05
Au 0.5000 0.5000 0.0000 x1  8 Rh 2.88, 4 Mn 2.90
N 0.0000 0.0000 0.5000 x1  2 Mn 2.02, 4 Rh 2.05